Here is a relaxed structure of CrCu2IrO8 from the Alexandria database. Energies are from PBE+U.

Cell and atoms, written as extended XYZ:
```
12
Lattice="-3.1168 3.1168 3.3179 3.1168 -3.1168 3.3179 3.1168 3.1168 -3.3179" Properties=species:S:1:pos:R:3 pbc="T T T"
Cr 0.0000 0.0000 0.0000
Cu 0.0000 0.0000 3.3179
Cu 0.0000 3.1168 1.6589
Ir 3.1168 0.0000 1.6589
O 1.9694 3.1168 -1.4593
O 1.1474 0.0000 1.8586
O 0.0000 2.0064 0.1509
O 3.1168 1.9694 1.4593
O 0.0000 4.2272 0.1509
O 0.0000 1.1474 4.7772
O -1.1104 3.1168 3.1670
O 1.1104 3.1168 3.1670
```

The calculation puts the density at 6.43 g cm⁻³. As for the total magnetization: 1.847 μB per cell. The value obtained for the density of states at the Fermi level is 6.9 states/eV/cell. For the total energy, the calculation gives -69.14 eV/f.u.